No. 1
Computed, not measured: a relaxed LiPu2USe5 crystal at the PBE level of DFT.

a = 4.0879 Å, b = 17.1289 Å, c = 12.4215 Å
α = 90.00°, β = 90.00°, γ = 90.00°
Space group Cmc2_1 (No. 36)
Inequivalent atoms, fractional coordinates:
Li  0.0000  0.0324  0.0000 x4
Pu  0.0000  0.3713  0.8392 x4
Pu  0.0000  0.3970  0.2208 x4
U  0.0000  0.2948  0.5458 x4
Se  0.0000  0.0047  0.3100 x4
Se  0.0000  0.1311  0.5341 x4
Se  0.0000  0.1870  0.8884 x4
Se  0.0000  0.2159  0.2040 x4
Se  0.0000  0.4467  0.6050 x4

## Properties
Fermi-level density of states in states/eV per atom: 3.45
Formation energy without anion corrections in eV per atom: -1.2910

=====

No. 2
Computed, not measured: a relaxed Li4Pu3USe8 crystal at the PBE level of DFT.

a = 8.2454 Å, b = 8.2454 Å, c = 19.3299 Å
α = 90.00°, β = 90.00°, γ = 120.00°
Space group R-3m (No. 166, hexagonal axes)
Inequivalent atoms, fractional coordinates:
Li  0.0000  0.0000  0.0000 x3
Li  0.0000  0.5000  0.0000 x9
Pu  0.0000  0.5000  0.5000 x9
U  0.0000  0.0000  0.5000 x3
Se  0.0000  0.0000  0.2515 x6
Se  0.0054  0.5027  0.2517 x18

## Properties
Fermi-level density of states in states/eV per atom: 2.22
Formation energy without anion corrections in eV per atom: -1.3625

=====

No. 3
Computed, not measured: a relaxed LiPuU2Se5 crystal at the PBE level of DFT.

a = 7.4572 Å, b = 7.4572 Å, c = 14.0856 Å
α = 90.00°, β = 90.00°, γ = 90.00°
Space group I4/mcm (No. 140)
Inequivalent atoms, fractional coordinates:
Li  0.0000  0.5000  0.2500 x4
Pu  0.0000  0.0000  0.2500 x4
U  0.1160  0.3840  0.0000 x8
Se  0.0000  0.0000  0.0000 x4
Se  0.1787  0.3213  0.3576 x16

## Properties
Fermi-level density of states in states/eV per atom: 1.69
Formation energy without anion corrections in eV per atom: -1.1736

=====

No. 4
Computed, not measured: a relaxed LiPu3U3Se8 crystal at the PBE level of DFT.

a = 13.9942 Å, b = 8.0553 Å, c = 8.2431 Å
α = 90.00°, β = 124.43°, γ = 90.00°
Space group C2/m (No. 12)
Inequivalent atoms, fractional coordinates:
Li  0.0000  0.0000  0.0000 x2
Pu  0.0000  0.0000  0.5000 x2
Pu  0.2500  0.2500  0.5000 x4
U  0.0000  0.5000  0.0000 x2
U  0.2500  0.2500  0.0000 x4
Se  0.0033  0.2505  0.7568 x8
Se  0.2469  0.0000  0.2430 x4
Se  0.2498  0.0000  0.7504 x4

## Properties
Fermi-level density of states in states/eV per atom: 3.42
Formation energy without anion corrections in eV per atom: -1.2438

=====

No. 5
Computed, not measured: a relaxed Li2YPuSe4 crystal at the PBE level of DFT.

a = 6.8977 Å, b = 4.1077 Å, c = 7.1104 Å
α = 90.00°, β = 110.26°, γ = 90.00°
Space group P2/m (No. 10)
Inequivalent atoms, fractional coordinates:
Li  0.0000  0.0000  0.0000 x1
Li  0.0000  0.5000  0.5000 x1
Y  0.5000  0.0000  0.5000 x1
Pu  0.5000  0.5000  0.0000 x1
Se  0.2447  0.5000  0.2513 x2
Se  0.2464  0.0000  0.7466 x2

## Properties
Fermi-level density of states in states/eV per atom: 1.51
Formation energy without anion corrections in eV per atom: -1.5383

=====

No. 6
Computed, not measured: a relaxed Li3Y3PuSe8 crystal at the PBE level of DFT.

a = 8.1797 Å, b = 8.1797 Å, c = 19.4800 Å
α = 90.00°, β = 90.00°, γ = 120.00°
Space group R-3m (No. 166, hexagonal axes)
Inequivalent atoms, fractional coordinates:
Li  0.0000  0.5000  0.0000 x9
Y  0.0000  0.5000  0.5000 x9
Pu  0.0000  0.0000  0.5000 x3
Se  0.0000  0.0000  0.2512 x6
Se  0.0048  0.5024  0.2494 x18

## Properties
Fermi-level density of states in states/eV per atom: 0.78
Formation energy without anion corrections in eV per atom: -1.5860

=====

No. 7
Computed, not measured: a relaxed Li4Y3PuSe8 crystal at the PBE level of DFT.

a = 8.1797 Å, b = 8.1797 Å, c = 19.4809 Å
α = 90.00°, β = 90.00°, γ = 120.00°
Space group R-3m (No. 166, hexagonal axes)
Inequivalent atoms, fractional coordinates:
Li  0.0000  0.0000  0.0000 x3
Li  0.0000  0.5000  0.0000 x9
Y  0.0000  0.5000  0.5000 x9
Pu  0.0000  0.0000  0.5000 x3
Se  0.0000  0.0000  0.2513 x6
Se  0.0030  0.5015  0.7486 x18

## Properties
Fermi-level density of states in states/eV per atom: 0.78
Formation energy without anion corrections in eV per atom: -1.6167

=====

No. 8
Computed, not measured: a relaxed LiY3Pu3Se8 crystal at the PBE level of DFT.

a = 8.1999 Å, b = 8.1999 Å, c = 20.0257 Å
α = 90.00°, β = 90.00°, γ = 120.00°
Space group R-3m (No. 166, hexagonal axes)
Inequivalent atoms, fractional coordinates:
Li  0.0000  0.0000  0.0000 x3
Y  0.0000  0.5000  0.5000 x9
Pu  0.0000  0.5000  0.0000 x9
Se  0.0000  0.0000  0.2489 x6
Se  0.0071  0.5036  0.7499 x18

## Properties
Fermi-level density of states in states/eV per atom: 2.38
Formation energy without anion corrections in eV per atom: -1.6341

=====

No. 9
Computed, not measured: a relaxed LiY2Pu3Se6 crystal at the PBE level of DFT.

a = 17.8857 Å, b = 4.1116 Å, c = 8.2112 Å
α = 90.00°, β = 103.10°, γ = 90.00°
Space group C2/m (No. 12)
Inequivalent atoms, fractional coordinates:
Li  0.0000  0.0000  0.0000 x2
Y  0.1654  0.5000  0.3327 x4
Pu  0.0000  0.0000  0.5000 x2
Pu  0.1661  0.5000  0.8355 x4
Se  0.0013  0.5000  0.2430 x4
Se  0.1637  0.0000  0.0862 x4
Se  0.1678  0.0000  0.5826 x4

## Properties
Fermi-level density of states in states/eV per atom: 2.29
Formation energy without anion corrections in eV per atom: -1.6100

=====

No. 10
Computed, not measured: a relaxed LiY3Pu2Se6 crystal at the PBE level of DFT.

a = 7.0859 Å, b = 12.2832 Å, c = 7.1183 Å
α = 90.00°, β = 109.45°, γ = 90.00°
Space group C2/m (No. 12)
Inequivalent atoms, fractional coordinates:
Li  0.0000  0.0000  0.0000 x2
Y  0.0000  0.1684  0.5000 x4
Y  0.0000  0.5000  0.5000 x2
Pu  0.0000  0.3338  0.0000 x4
Se  0.2418  0.0000  0.7494 x4
Se  0.2458  0.1627  0.2499 x8

## Properties
Fermi-level density of states in states/eV per atom: 1.73
Formation energy without anion corrections in eV per atom: -1.6709

=====

No. 11
Computed, not measured: a relaxed Li4YPu3Se8 crystal at the PBE level of DFT.

a = 8.2360 Å, b = 8.2360 Å, c = 19.3350 Å
α = 90.00°, β = 90.00°, γ = 120.00°
Space group R-3m (No. 166, hexagonal axes)
Inequivalent atoms, fractional coordinates:
Li  0.0000  0.0000  0.0000 x3
Li  0.0000  0.5000  0.0000 x9
Y  0.0000  0.0000  0.5000 x3
Pu  0.0000  0.5000  0.5000 x9
Se  0.0000  0.0000  0.2509 x6
Se  0.0022  0.5011  0.2517 x18

## Properties
Fermi-level density of states in states/eV per atom: 2.01
Formation energy without anion corrections in eV per atom: -1.4703

=====

No. 12
Computed, not measured: a relaxed LiPuZrSe4 crystal at the PBE level of DFT.

a = 7.8654 Å, b = 8.3890 Å, c = 11.4615 Å
α = 90.00°, β = 90.00°, γ = 90.00°
Space group Imma (No. 74)
Inequivalent atoms, fractional coordinates:
Li  0.0000  0.2500  0.1292 x4
Pu  0.0000  0.0000  0.5000 x4
Zr  0.2500  0.2500  0.7500 x4
Se  0.0000  0.0229  0.7520 x8
Se  0.2479  0.2500  0.5137 x8

## Properties
Fermi-level density of states in states/eV per atom: 1.51
Formation energy without anion corrections in eV per atom: -1.3575

=====

No. 13
Computed, not measured: a relaxed Li3PuZr2Se6 crystal at the PBE level of DFT.

a = 6.7673 Å, b = 11.7243 Å, c = 6.9265 Å
α = 90.00°, β = 109.08°, γ = 90.00°
Space group C2/m (No. 12)
Inequivalent atoms, fractional coordinates:
Li  0.0000  0.0000  0.0000 x2
Li  0.0000  0.3358  0.0000 x4
Pu  0.0000  0.5000  0.5000 x2
Zr  0.0000  0.1669  0.5000 x4
Se  0.2363  0.0000  0.7543 x4
Se  0.2410  0.1745  0.2471 x8

## Properties
Fermi-level density of states in states/eV per atom: 1.26
Formation energy without anion corrections in eV per atom: -1.3480

=====

No. 14
Computed, not measured: a relaxed Li3Pu3ZrSe8 crystal at the PBE level of DFT.

a = 13.7372 Å, b = 8.1863 Å, c = 7.9664 Å
α = 90.00°, β = 123.45°, γ = 90.00°
Space group C2/m (No. 12)
Inequivalent atoms, fractional coordinates:
Li  0.0000  0.0000  0.0000 x2
Li  0.2500  0.2500  0.5000 x4
Pu  0.0000  0.5000  0.5000 x2
Pu  0.2500  0.2500  0.0000 x4
Zr  0.0000  0.0000  0.5000 x2
Se  0.0033  0.2364  0.2603 x8
Se  0.2394  0.0000  0.7348 x4
Se  0.2468  0.0000  0.2516 x4

## Properties
Fermi-level density of states in states/eV per atom: 2.44
Formation energy without anion corrections in eV per atom: -1.3625

=====

No. 15
Computed, not measured: a relaxed Li2PuZr3Se6 crystal at the PBE level of DFT.

a = 6.6365 Å, b = 11.4953 Å, c = 7.0657 Å
α = 90.00°, β = 108.22°, γ = 90.00°
Space group C2/m (No. 12)
Inequivalent atoms, fractional coordinates:
Li  0.0000  0.1642  0.0000 x4
Pu  0.0000  0.5000  0.0000 x2
Zr  0.0000  0.0000  0.5000 x2
Zr  0.0000  0.3256  0.5000 x4
Se  0.2449  0.0000  0.2595 x4
Se  0.2447  0.1720  0.7510 x8

## Properties
Fermi-level density of states in states/eV per atom: 0.98
Formation energy without anion corrections in eV per atom: -1.3292

=====

No. 16
Computed, not measured: a relaxed Li3Pu2ZrSe6 crystal at the PBE level of DFT.

a = 6.9791 Å, b = 12.0982 Å, c = 6.8713 Å
α = 90.00°, β = 109.78°, γ = 90.00°
Space group C2/m (No. 12)
Inequivalent atoms, fractional coordinates:
Li  0.0000  0.0000  0.0000 x2
Li  0.0000  0.3368  0.0000 x4
Pu  0.0000  0.1672  0.5000 x4
Zr  0.0000  0.5000  0.5000 x2
Se  0.2346  0.5000  0.2486 x4
Se  0.2439  0.3412  0.7551 x8

## Properties
Fermi-level density of states in states/eV per atom: 1.74
Formation energy without anion corrections in eV per atom: -1.3845

=====

No. 17
Computed, not measured: a relaxed Li2PuZrSe4 crystal at the PBE level of DFT.

a = 6.8764 Å, b = 3.9521 Å, c = 6.9075 Å
α = 90.00°, β = 109.30°, γ = 90.00°
Space group P2/m (No. 10)
Inequivalent atoms, fractional coordinates:
Li  0.0000  0.0000  0.0000 x1
Li  0.5000  0.5000  0.0000 x1
Pu  0.0000  0.5000  0.5000 x1
Zr  0.5000  0.0000  0.5000 x1
Se  0.2623  0.5000  0.2490 x2
Se  0.2673  0.0000  0.7565 x2

## Properties
Fermi-level density of states in states/eV per atom: 1.38
Formation energy without anion corrections in eV per atom: -1.3610

=====

No. 18
Computed, not measured: a relaxed LiPuSi crystal at the PBE level of DFT.

a = 3.1788 Å, b = 3.1788 Å, c = 11.2847 Å
α = 90.00°, β = 90.00°, γ = 90.00°
Space group I4mm (No. 107)
Inequivalent atoms, fractional coordinates:
Li  0.0000  0.0000  0.0000 x2
Pu  0.0000  0.0000  0.2907 x2
Si  0.0000  0.0000  0.6154 x2

## Properties
Fermi-level density of states in states/eV per atom: 1.80
Formation energy without anion corrections in eV per atom: -0.0515

=====

No. 19
Computed, not measured: a relaxed LiPuSi crystal at the PBE level of DFT.

a = 4.7331 Å, b = 15.0360 Å, c = 3.4756 Å
α = 90.00°, β = 90.00°, γ = 90.00°
Space group Cmcm (No. 63)
Inequivalent atoms, fractional coordinates:
Li  0.0000  0.2244  0.2500 x4
Pu  0.0000  0.4490  0.2500 x4
Si  0.0000  0.0587  0.2500 x4

## Properties
Fermi-level density of states in states/eV per atom: 1.25
Formation energy without anion corrections in eV per atom: 0.0812

=====

No. 20
Computed, not measured: a relaxed LiPuSi3 crystal at the PBE level of DFT.

a = 3.9911 Å, b = 23.6075 Å, c = 3.8863 Å
α = 90.00°, β = 90.00°, γ = 90.00°
Space group Cmcm (No. 63)
Inequivalent atoms, fractional coordinates:
Li  0.0000  0.2056  0.2500 x4
Pu  0.0000  0.0749  0.7500 x4
Si  0.0000  0.3187  0.2500 x4
Si  0.0000  0.3745  0.7500 x4
Si  0.0000  0.4736  0.7500 x4

## Properties
Fermi-level density of states in states/eV per atom: 1.83
Formation energy without anion corrections in eV per atom: -0.3128